Density functional theory data (PBE) for crystalline TlAgPdBr6 at its relaxed geometry.

The structure in extended XYZ format:
```
18
Lattice="-1.5062 -1.9932 -7.0000 2.3367 -5.0852 4.8910 -10.6498 -2.1114 2.8927" Properties=species:S:1:pos:R:3 pbc="T T T"
Br -9.0084 -4.3866 2.2632
Br -7.9090 -5.5446 5.4654
Br -5.7767 -3.3490 3.1207
Br -8.1958 -7.8392 2.7348
Br -5.8641 -6.0775 0.8074
Br -1.6235 -1.3506 -1.9511
Br -0.8109 -4.8032 -1.4796
Br -1.9103 -3.6452 -4.6817
Br -4.9836 -2.5582 -3.4058
Br -4.8356 -6.6316 4.1895
Br -3.9551 -3.1123 -0.0237
Br -4.0425 -5.8407 -2.3370
Ag -5.3249 -1.0557 1.4463
Ag 0.0000 0.0000 0.0000
Pd -2.8877 -3.5517 -2.3132
Pd -6.9316 -5.6381 3.0968
Tl -1.6067 -4.5824 1.6505
Tl -8.2126 -4.6074 -0.8668
```

**Space-group type**: P-31c, No. 163
**Electronic total energy**: -0.0954 Ha/atom
**Crystal system**: trigonal